Crystalline MnGeBSb2 at its relaxed geometry, computed with GGA-PBE.

CIF file:
```
data_MnGeBSb2
_cell_length_a 4.9157
_cell_length_b 4.0939
_cell_length_c 4.9157
_cell_angle_alpha 90.00
_cell_angle_beta 90.00
_cell_angle_gamma 90.00
_space_group_name_H-M_alt 'P 1'
_space_group_IT_number 1
loop_
_space_group_symop_operation_xyz
'x,y,z'
loop_
_atom_site_label
_atom_site_fract_x
_atom_site_fract_y
_atom_site_fract_z
Sb1 0.5000 0.0000 0.0000
B1 0.0000 0.0000 0.0000
Mn1 0.0000 0.5000 0.0000
Sb2 0.0000 0.0000 0.5000
Ge1 0.5000 0.5000 0.5000
```

Formation energy (no corrections) ... 0.62 eV/atom
N(E_F) ... 2.9 states/eV/cell